Compound: FeH2N
Source: the Alexandria database
Functional: PBE-GGA
Structure: optimized geometry Values from VASP.

```
&SYSTEM
  ibrav = 0, nat = 8, ntyp = 3
/
ATOMIC_SPECIES
H 1.01 H.upf
N 14.01 N.upf
Fe 55.84 Fe.upf
CELL_PARAMETERS angstrom
2.6752 0.0000 0.0000
0.0000 2.6752 0.0000
1.3376 1.3376 7.1351
ATOMIC_POSITIONS crystal
H 0.8750 0.1250 0.7500
H 0.8750 0.1250 0.2500
H 0.8750 0.6250 0.2500
H 0.3750 0.1250 0.7500
N 0.2500 0.7500 0.5000
N 0.5000 0.5000 0.0000
Fe 0.0000 0.0000 0.0000
Fe 0.7500 0.2500 0.5000
```

Computed properties:
Calculated volume (Å³/cell): 51
Crystal system: tetragonal
Electronic total energy (Ry/atom): -0.3929